No. 1
Below is a relaxed structure of Tb2Nd12Y, with properties calculated at the PBE level.

## Properties
Theoretical density   6.7 g/cm³
Energy of formation   2.3 eV/f.u.
N(E_F)   1.499 states/eV per atom
Symmetry   Cmme, No. 67
Final energy   -4.709 eV/atom

Cell lengths 6.860, 6.860, 25.092 Å; angles 90.00, 90.00, 116.49 degrees
Sites, in units of the cell vectors:
Tb: 0.250 0.750 0.233
Tb: 0.250 0.750 0.772
Tb: 0.750 0.250 0.228
Tb: 0.750 0.250 0.767
Nd: 0.001 0.501 0.630
Nd: 0.002 0.998 0.425
Nd: 0.019 0.519 0.085
Nd: 0.024 0.976 0.940
Nd: 0.250 0.250 0.175
Nd: 0.250 0.250 0.301
Nd: 0.250 0.250 0.699
Nd: 0.250 0.250 0.825
Nd: 0.476 0.524 0.940
Nd: 0.481 0.981 0.085
Nd: 0.498 0.502 0.425
Nd: 0.499 0.999 0.630
Nd: 0.501 0.001 0.370
Nd: 0.502 0.498 0.575
Nd: 0.519 0.019 0.915
Nd: 0.524 0.476 0.060
Nd: 0.750 0.750 0.175
Nd: 0.750 0.750 0.301
Nd: 0.750 0.750 0.699
Nd: 0.750 0.750 0.825
Nd: 0.976 0.024 0.060
Nd: 0.981 0.481 0.915
Nd: 0.998 0.002 0.575
Nd: 0.999 0.499 0.370
Y: 0.250 0.750 0.501
Y: 0.750 0.250 0.499

=====

No. 2
Below is a relaxed structure of MnSb4Rh, with properties calculated at the PBE level.

## Properties
Theoretical density   6.9 g/cm³
N(E_F)   0.993 states/eV per atom
Symmetry   F-43m, No. 216
Final energy   -4.661 eV/atom

Cell lengths 6.040, 6.040, 6.040 Å; angles 60.00, 60.00, 60.00 degrees
Sites, in units of the cell vectors:
Mn: 0.000 0.000 0.000
Sb: 0.375 0.375 0.375
Sb: 0.375 0.375 0.875
Sb: 0.375 0.875 0.375
Sb: 0.875 0.375 0.375
Rh: 0.750 0.750 0.750

=====

No. 3
Below is a relaxed structure of Cu5AuO8, with properties calculated at the PBE level.

## Properties
Theoretical density   7.0 g/cm³
N(E_F)   0.893 states/eV per atom
Symmetry   F-43m, No. 216
Final energy   -4.809 eV/atom

Cell lengths 6.008, 6.008, 6.008 Å; angles 60.00, 60.00, 60.00 degrees
Sites, in units of the cell vectors:
Cu: 0.000 0.000 0.000
Cu: 0.374 0.374 0.374
Cu: 0.374 0.374 0.879
Cu: 0.374 0.879 0.374
Cu: 0.879 0.374 0.374
Au: 0.750 0.750 0.750
O: 0.135 0.135 0.135
O: 0.135 0.135 0.595
O: 0.135 0.595 0.135
O: 0.178 0.607 0.607
O: 0.595 0.135 0.135
O: 0.607 0.178 0.607
O: 0.607 0.607 0.178
O: 0.607 0.607 0.607

=====

No. 4
Below is a relaxed structure of HfTeAsF2, with properties calculated at the PBE level.

## Properties
Theoretical density   7.3 g/cm³
N(E_F)   0.350 states/eV per atom
Symmetry   P4/mmm, No. 123
Final energy   -6.176 eV/atom

Cell lengths 4.173, 4.173, 5.496 Å; angles 90.00, 90.00, 90.00 degrees
Sites, in units of the cell vectors:
Hf: 0.000 0.000 0.000
Te: 0.500 0.500 0.500
As: 0.000 0.000 0.500
F: 0.000 0.500 0.000
F: 0.500 0.000 0.000

=====

No. 5
Below is a relaxed structure of BaCrI2N, with properties calculated at the PBE level.

## Properties
Theoretical density   5.5 g/cm³
N(E_F)   0.296 states/eV per atom
Symmetry   P4/mmm, No. 123
Energy above the most stable polymorph in this dataset   0 meV/atom
Final energy   -5.119 eV/atom

Cell lengths 6.027, 6.027, 3.793 Å; angles 90.00, 90.00, 90.00 degrees
Sites, in units of the cell vectors:
Ba: 0.000 0.000 0.000
Cr: 0.500 0.500 0.500
I: 0.000 0.500 0.500
I: 0.500 0.000 0.500
N: 0.500 0.500 0.000

=====

No. 6
Below is a relaxed structure of RbPuNiBr6, with properties calculated at the PBE level.

## Properties
Theoretical density   4.3 g/cm³
N(E_F)   1.163 states/eV per atom
Symmetry   P-31c, No. 163
Final energy   -4.622 eV/atom

Cell lengths 7.111, 7.111, 15.393 Å; angles 90.00, 90.00, 120.00 degrees
Sites, in units of the cell vectors:
Rb: 0.000 0.000 0.000
Rb: 0.000 0.000 0.500
Pu: 0.333 0.667 0.250
Pu: 0.667 0.333 0.750
Ni: 0.333 0.667 0.750
Ni: 0.667 0.333 0.250
Br: 0.029 0.382 0.651
Br: 0.029 0.647 0.849
Br: 0.353 0.382 0.849
Br: 0.353 0.971 0.651
Br: 0.382 0.029 0.151
Br: 0.382 0.353 0.349
Br: 0.618 0.647 0.651
Br: 0.618 0.971 0.849
Br: 0.647 0.029 0.349
Br: 0.647 0.618 0.151
Br: 0.971 0.353 0.151
Br: 0.971 0.618 0.349